VASP calculation (GGA-PBE) on an optimized crystal structure of AcZn9Ir2.

Cell: 7.4910 7.4910 6.5917 Å, 77.81 77.81 39.80°
Last column: nearest neighbours and their distance in Å.
Fractional positions:
Zn1 0.0941 0.6031 0.6699  6 Zn 2.50-2.74, 2 Ir 2.61-2.71
Zn2 0.7589 0.7589 0.0034  1 Ir 2.56, 7 Zn 2.56-2.75
Zn3 0.2411 0.2411 0.9966  1 Ir 2.56, 7 Zn 2.56-2.75
Zn4 0.3970 0.9059 0.3301  6 Zn 2.50-2.74, 2 Ir 2.61-2.71
Zn5 0.9059 0.3969 0.3301  6 Zn 2.50-2.74, 2 Ir 2.61-2.71
Ac1 0.0000 0.0000 0.0000  2 Ir 3.01
Ir1 0.1813 0.1813 0.6569  8 Zn 2.56-2.86
Zn6 0.6030 0.0941 0.6699  6 Zn 2.50-2.74, 2 Ir 2.61-2.71
Ir2 0.8187 0.8187 0.3431  8 Zn 2.56-2.86
Zn7 0.6569 0.6569 0.6938  3 Ir 2.58-2.86, 4 Zn 2.74-2.79
Zn8 0.5000 0.5000 0.5000  6 Zn 2.53-2.79
Zn9 0.3431 0.3431 0.3062  3 Ir 2.58-2.86, 4 Zn 2.74-2.79

energy of formation = -1.03 eV/f.u.
space group = C2/m, No. 12
energy above the most stable polymorph in this dataset = 84 meV per atom

VASP calculation (GGA-PBE) on an optimized crystal structure of TcIrRu2.

Cell: 4.6984 4.6984 4.6984 Å, 131.60 131.60 70.85°
Last column: nearest neighbours and their distance in Å.
Fractional positions:
Ru1 0.2500 0.7500 0.5000  4 Ru 2.72, 4 Tc 2.72, 4 Ir 2.72
Ru2 0.0000 0.0000 0.0000  4 Ir 2.72, 4 Ru 2.72, 4 Tc 2.72
Tc1 0.5000 0.5000 0.0000  8 Ru 2.72, 4 Ir 2.72
Ir1 0.7500 0.2500 0.5000  8 Ru 2.72, 4 Tc 2.72

energy of formation = -0.15 eV/f.u.
space group = I-4m2, No. 119
energy above the most stable polymorph in this dataset = 98 meV per atom

VASP calculation (GGA-PBE) on an optimized crystal structure of Na12TlCd3.

Cell: 4.8945 4.8945 20.1221 Å, 90.00 90.00 90.00°
Last column: nearest neighbours and their distance in Å.
Fractional positions:
Na1 0.5000 0.5000 0.7469  4 Cd 3.46, 8 Na 3.49-3.51
Na2 0.0000 0.5000 0.6234  8 Na 3.46-3.49, 4 Cd 3.49-3.52
Na3 0.5000 0.5000 0.0000  4 Tl 3.46, 8 Na 3.56
Cd1 0.0000 0.0000 0.7494  12 Na 3.46-3.52
Na4 0.5000 0.0000 0.6234  8 Na 3.46-3.49, 4 Cd 3.49-3.52
Cd2 0.0000 0.0000 0.2506  12 Na 3.46-3.52
Na5 0.5000 0.5000 0.2531  4 Cd 3.46, 8 Na 3.49-3.51
Cd3 0.0000 0.0000 0.5000  12 Na 3.46-3.49
Na6 0.0000 0.5000 0.8718  8 Na 3.46-3.56, 2 Cd 3.47, 2 Tl 3.56
Tl1 0.0000 0.0000 0.0000  12 Na 3.46-3.56
Na7 0.5000 0.0000 0.1282  8 Na 3.46-3.56, 2 Cd 3.47, 2 Tl 3.56
Na8 0.5000 0.0000 0.8718  8 Na 3.46-3.56, 2 Cd 3.47, 2 Tl 3.56
Na9 0.0000 0.5000 0.3766  8 Na 3.46-3.49, 4 Cd 3.49-3.52
Na10 0.5000 0.5000 0.5000  4 Cd 3.46, 8 Na 3.49
Na11 0.0000 0.5000 0.1282  8 Na 3.46-3.56, 2 Cd 3.47, 2 Tl 3.56
Na12 0.5000 0.0000 0.3766  8 Na 3.46-3.49, 4 Cd 3.49-3.52

energy of formation = -0.76 eV/f.u.
space group = P4/mmm, No. 123

VASP calculation (GGA-PBE) on an optimized crystal structure of CdBiTe2.

Cell: 6.2741 4.5364 4.4692 Å, 90.00 90.01 90.00°
Last column: nearest neighbours and their distance in Å.
Fractional positions:
Cd1 0.1253 0.5000 0.3770  6 Te 3.14-3.19
Te1 0.1250 0.0000 0.8755  2 Bi 3.13-3.14, 4 Cd 3.18-3.19
Bi1 0.6245 0.0000 0.8737  6 Te 3.13-3.18
Te2 0.6252 0.5000 0.3739  2 Cd 3.14, 4 Bi 3.18

space group = Pmm2, No. 25
energy above the most stable polymorph in this dataset = 0 meV per atom

Short version: total moment = 0.00, 0.00, 0.00, 0.00 μB per atom, in the order given.
Short version: E = -2.86, -9.48, -1.36, -2.97 eV/atom, in the order given.